(1)
Density functional theory data (PBEsol) for a relaxed Mn2TlSe crystal.

* total energy: -6.32 eV per atom
* formation energy without anion corrections: 0.18 eV per atom
* ΔE to the lowest computed polymorph: 0.0 kJ/mol of formula units
* calculated density: 9.213 g cm⁻³
* space-group type: P4mm (99)

Cell lengths 3.2094, 3.2094, 6.8810 Å; angles 90.00, 90.00, 90.00 degrees
With the nearest neighbours (Å) after each atom.
Fractional coordinates of all 4 atoms:
Mn 0.5000 0.5000 0.2545  4 Se 2.48, 4 Mn 2.69
Se 0.0000 0.0000 0.4005  5 Mn 2.45-2.48
Tl 0.5000 0.5000 0.8010  5 Mn 2.82-3.12
Mn 0.0000 0.0000 0.0440  1 Se 2.45, 4 Mn 2.69

=====

(2)
Density functional theory data (PBEsol) for a relaxed Mg7Hg crystal.

* total energy: -1.65 eV per atom
* formation energy from the elements: -0.072 eV per atom
* calculated density: 3.530 g cm⁻³
* space-group type: Fm-3m (225)

Cell lengths 6.2711, 6.2711, 6.2711 Å; angles 60.00, 60.00, 60.00 degrees
With the nearest neighbours (Å) after each atom.
Fractional coordinates of all 8 atoms:
Hg 0.0000 0.0000 0.0000  12 Mg 3.14
Mg 0.5000 0.5000 0.5000  12 Mg 3.14
Mg 0.5000 0.0000 0.0000  10 Mg 3.14, 2 Hg 3.14
Mg 0.5000 0.0000 0.5000  10 Mg 3.14, 2 Hg 3.14
Mg 0.0000 0.0000 0.5000  10 Mg 3.14, 2 Hg 3.14
Mg 0.5000 0.5000 0.0000  10 Mg 3.14, 2 Hg 3.14
Mg 0.0000 0.5000 0.5000  10 Mg 3.14, 2 Hg 3.14
Mg 0.0000 0.5000 0.0000  2 Hg 3.14, 10 Mg 3.14

=====

(3)
Density functional theory data (PBEsol) for a relaxed CoIr2Se crystal.

* total energy: -7.54 eV per atom
* formation energy without anion corrections: 0.27 eV per atom
* calculated density: 15.824 g cm⁻³
* space-group type: R3m (160)

Cell lengths 2.7846, 2.7846, 8.3190 Å; angles 80.37, 80.37, 60.00 degrees
With the nearest neighbours (Å) after each atom.
Fractional coordinates of all 4 atoms:
Ir 0.7507 0.7507 0.7478  9 Ir 2.70-2.78, 3 Se 2.73
Se 0.5077 0.5077 0.4768  3 Co 2.38
Ir 0.9952 0.9952 0.0143  3 Co 2.58, 9 Ir 2.70-2.78
Co 0.2463 0.2463 0.2612  3 Se 2.38, 3 Ir 2.58

=====

(4)
Density functional theory data (PBEsol) for a relaxed AlRe2Si crystal.

* total energy: -8.59 eV per atom
* formation energy without anion corrections: 0.54 eV per atom
* ΔE to the lowest computed polymorph: 268.9 kJ/mol of formula units
* calculated density: 11.147 g cm⁻³
* space-group type: I-42d (122)

Cell lengths 4.8768, 5.6623, 5.6623 Å; angles 79.31, 64.49, 64.49 degrees
With the nearest neighbours (Å) after each atom.
Fractional coordinates of all 8 atoms:
Al 0.2500 0.5000 0.5000  2 Si 2.44
Re 0.8750 0.4321 0.0679  2 Si 2.32
Si 0.0000 0.0000 0.0000  4 Re 2.32, 2 Al 2.44
Re 0.3750 0.5679 0.9321  2 Si 2.32
Si 0.7500 0.5000 0.5000  4 Re 2.32, 2 Al 2.44
Re 0.0571 0.0679 0.5679  2 Si 2.32
Al 0.5000 0.0000 0.0000  2 Si 2.44
Re 0.6929 0.9321 0.4321  2 Si 2.32

=====

(5)
Density functional theory data (PBEsol) for a relaxed LaAl2Ni crystal.

* total energy: -5.40 eV per atom
* formation energy from the elements: -0.477 eV per atom
* calculated density: 5.205 g cm⁻³
* space-group type: R-3m (166)

Cell lengths 4.0913, 4.0913, 6.0191 Å; angles 70.13, 70.13, 60.00 degrees
With the nearest neighbours (Å) after each atom.
Fractional coordinates of all 4 atoms:
La 0.0000 0.0000 0.0000  8 Al 3.20-3.38
Ni 0.5000 0.5000 0.5000  6 Al 2.44
Al 0.2036 0.2036 0.3893  3 Ni 2.44, 3 Al 2.66
Al 0.7964 0.7964 0.6107  3 Ni 2.44, 3 Al 2.66

=====

(6)
Density functional theory data (PBEsol) for a relaxed KMnNi crystal.

* total energy: -4.98 eV per atom
* formation energy from the elements: 0.708 eV per atom
* ΔE to the lowest computed polymorph: 0.0 kJ/mol of formula units
* calculated density: 4.037 g cm⁻³
* space-group type: I4mm (107)

Cell lengths 3.2331, 3.2331, 6.4300 Å; angles 104.56, 104.56, 90.00 degrees
With the nearest neighbours (Å) after each atom.
Fractional coordinates of all 3 atoms:
Ni 0.2760 0.2760 0.5520  4 Mn 2.36
K 0.9956 0.9956 0.9912  1 Mn 3.21, 4 K 3.23, 5 Ni 3.37-3.49
Mn 0.7284 0.7284 0.4568  4 Ni 2.36

=====

- Look up the total energy of the first one.
  -6.32 eV per atom